La5Hf: optimized geometry, PBE-GGA.

Properties
ΔE_f (meV/atom): 123.0
Calculated total energy (eV per formula unit): -33.85
N(E_F) (states/eV/cell): 18.5
Spin magnetization (μB per cell): 0.0

Geometry as CIF:
```
data_La5Hf
_chemical_formula_sum 'La10 Hf2'
_cell_length_a 5.0526
_cell_length_b 15.7631
_cell_length_c 5.0361
_cell_angle_alpha 90.00
_cell_angle_beta 90.00
_cell_angle_gamma 90.00
_symmetry_space_group_name_H-M 'C m m m'
_symmetry_Int_Tables_number 65
_symmetry_space_group_name_Hall '-C 2 2'
loop_
_atom_site_label
_atom_site_type_symbol
_atom_site_fract_x
_atom_site_fract_y
_atom_site_fract_z
La1 La 0.0000 0.0000 0.0000
La2 La 0.0000 0.1572 0.5000
La3 La 0.0000 0.3423 0.0000
Hf1 Hf 0.0000 0.5000 0.5000
```